(1)
The following is a DFT calculation (SCAN) of a crystal of Eu3NbO7 relaxed with PBEsol.

Structure (POSCAR):
```
Eu3NbO7
1.0
3.707 -5.330 0.000
3.707 5.330 0.000
0.000 0.000 7.638
Eu Nb O
6 2 14
Direct
0.000 0.000 0.000
0.000 0.000 0.500
0.033 0.498 0.750
0.498 0.033 0.250
0.502 0.967 0.750
0.967 0.502 0.250
0.500 0.500 0.000
0.500 0.500 0.500
0.128 0.872 0.250
0.136 0.864 0.750
0.177 0.425 0.031
0.177 0.425 0.469
0.425 0.177 0.531
0.425 0.177 0.969
0.438 0.562 0.750
0.562 0.438 0.250
0.575 0.823 0.031
0.575 0.823 0.469
0.823 0.575 0.531
0.823 0.575 0.969
0.864 0.136 0.250
0.872 0.128 0.750
```

Values from the calculation:
Symmetry: Cmcm
Uncorrected formation energy (kJ/mol of formula units): -3228

***

(2)
The following is a DFT calculation (SCAN) of a crystal of ZnHg3 relaxed with PBEsol.

Structure (POSCAR):
```
ZnHg3
1.0
-1.680 4.486 2.805
1.680 -4.486 2.805
1.680 4.486 -2.805
Zn Hg
1 3
Direct
0.000 0.000 0.000
0.404 0.686 0.718
0.592 0.092 0.500
0.968 0.686 0.282
```

Values from the calculation:
Symmetry: Imm2
E_form (eV per atom): 0.104

***

(3)
The following is a DFT calculation (SCAN) of a crystal of TeBrO2 relaxed with PBEsol.

Structure (POSCAR):
```
TeBrO2
1.0
0.000 2.997 2.997
2.997 0.000 2.997
2.997 2.997 0.000
Te Br O
1 1 2
Direct
0.000 0.000 0.000
0.500 0.500 0.500
0.250 0.250 0.250
0.750 0.750 0.750
```

Values from the calculation:
Symmetry: Fm-3m
Uncorrected formation energy (kJ/mol of formula units): 242

***

(4)
The following is a DFT calculation (SCAN) of a crystal of Ta2MnCu relaxed with PBEsol.

Structure (POSCAR):
```
Ta2MnCu
1.0
3.150 0.000 0.000
0.000 3.150 0.000
0.000 0.000 5.819
Ta Mn Cu
2 1 1
Direct
0.000 0.000 0.000
0.500 0.500 0.301
0.500 0.500 0.769
0.000 0.000 0.542
```

Values from the calculation:
Symmetry: P4mm
E_form (eV per atom): 0.030

***

(5)
The following is a DFT calculation (SCAN) of a crystal of SbAsCl3 relaxed with PBEsol.

Structure (POSCAR):
```
SbAsCl3
1.0
5.256 0.000 0.000
0.000 5.256 0.000
0.000 0.000 5.256
Sb As Cl
1 1 3
Direct
0.000 0.000 0.000
0.500 0.500 0.500
0.000 0.000 0.500
0.000 0.500 0.000
0.500 0.000 0.000
```

Values from the calculation:
Symmetry: Pm-3m
Uncorrected formation energy (kJ/mol of formula units): -20

***

(6)
The following is a DFT calculation (SCAN) of a crystal of CaSeBr2O relaxed with PBEsol.

Structure (POSCAR):
```
CaSeBr2O
1.0
5.506 0.000 0.000
0.000 5.506 0.000
0.000 0.000 5.825
Ca Se Br O
1 1 2 1
Direct
0.000 0.000 0.000
0.000 0.000 0.500
0.000 0.500 0.000
0.500 0.000 0.000
0.500 0.500 0.500
```

Values from the calculation:
Symmetry: P4/mmm
Uncorrected formation energy (kJ/mol of formula units): -100

***

Number 1 is which compound? Eu3NbO7